# 1
DFT (PBE-GGA) results for a relaxed structure of Dy6Bi3Pt.

Summary:
* energy of formation from the pure elements: -0.580 eV per atom
* space-group type: Cmc2_1
* total magnetic moment: 0.00 μB per formula unit
* total energy: -5.109 eV/atom

a b c (Å): 9.5766 9.5766 7.1314
angles (deg): 90.00 90.00 109.47
Sites, in units of the cell vectors:
Dy (0.0139, 0.9861, 0.5000)
Dy (0.1056, 0.5720, 0.9367)
Dy (0.2326, 0.3628, 0.3104)
Dy (0.2447, 0.7553, 0.4356)
Dy (0.3628, 0.2326, 0.8104)
Dy (0.4280, 0.8944, 0.9367)
Dy (0.5720, 0.1056, 0.4367)
Dy (0.6372, 0.7674, 0.3104)
Dy (0.7553, 0.2447, 0.9356)
Dy (0.7674, 0.6372, 0.8104)
Dy (0.8944, 0.4280, 0.4367)
Dy (0.9861, 0.0139, 0.0000)
Bi (0.0731, 0.2883, 0.7098)
Bi (0.2883, 0.0731, 0.2098)
Bi (0.4377, 0.5623, 0.9947)
Bi (0.5623, 0.4377, 0.4947)
Bi (0.7117, 0.9269, 0.7098)
Bi (0.9269, 0.7117, 0.2098)
Pt (0.1494, 0.8506, 0.7612)
Pt (0.8506, 0.1494, 0.2612)



# 2
DFT (PBE-GGA) results for a relaxed structure of Ce3HoAs4.

Summary:
* energy of formation from the pure elements: -1.446 eV per atom
* E above lowest polymorph: 0 meV/atom
* space-group type: Cmmm
* total magnetic moment: 2.07 μB per formula unit
* total energy: -6.568 eV/atom

a b c (Å): 7.2521 7.2521 4.1897
angles (deg): 90.00 90.00 109.47
Sites, in units of the cell vectors:
Ce (0.0000, 0.0000, 0.0000)
Ce (0.0000, 0.5000, 0.5000)
Ce (0.5000, 0.0000, 0.5000)
Ho (0.5000, 0.5000, 0.0000)
As (0.2523, 0.7477, 0.0000)
As (0.2540, 0.2540, 0.5000)
As (0.7460, 0.7460, 0.5000)
As (0.7477, 0.2523, 0.0000)



# 3
DFT (PBE-GGA) results for a relaxed structure of SiSeCl2.

Summary:
* E above lowest polymorph: 446 meV/atom
* space-group type: P4/mmm
* formation energy from raw total energies: 13.38 kJ per mole of atoms
* total magnetic moment: 0.00 μB per formula unit
* total energy: -3.012 eV/atom

a b c (Å): 3.1127 3.1127 11.6950
angles (deg): 90.00 90.00 90.00
Sites, in units of the cell vectors:
Si (0.0000, 0.0000, 0.0000)
Se (0.0000, 0.0000, 0.5000)
Cl (0.5000, 0.5000, 0.1378)
Cl (0.5000, 0.5000, 0.8622)



# 4
DFT (PBE-GGA) results for a relaxed structure of La3Nd3Tm2.

Summary:
* energy of formation from the pure elements: 0.023 eV per atom
* space-group type: Immm
* total magnetic moment: 0.00 μB per formula unit
* total energy: -4.730 eV/atom

a b c (Å): 10.8935 10.8935 10.8935
angles (deg): 152.45 152.37 39.41
Sites, in units of the cell vectors:
La (0.0000, 0.0000, 0.0000)
La (0.3717, 0.8717, 0.5000)
La (0.6283, 0.1283, 0.5000)
Nd (0.1294, 0.6294, 0.5000)
Nd (0.5000, 0.5000, 0.0000)
Nd (0.8706, 0.3706, 0.5000)
Tm (0.2494, 0.2494, 0.0000)
Tm (0.7506, 0.7506, 0.0000)



# 5
DFT (PBE-GGA) results for a relaxed structure of P2PbIO.

Summary:
* E above lowest polymorph: 58 meV/atom
* space-group type: P4/mmm
* formation energy from raw total energies: 81.02 kJ per mole of atoms
* total magnetic moment: 0.00 μB per formula unit
* total energy: -3.368 eV/atom

a b c (Å): 5.9848 5.9848 3.9834
angles (deg): 90.00 90.00 90.00
Sites, in units of the cell vectors:
P (0.0000, 0.5000, 0.0000)
P (0.5000, 0.0000, 0.0000)
Pb (0.0000, 0.0000, 0.5000)
I (0.5000, 0.5000, 0.0000)
O (0.5000, 0.5000, 0.5000)



# 6
DFT (PBE-GGA) results for a relaxed structure of LaAl4Pb.

Summary:
* energy of formation from the pure elements: -0.159 eV per atom
* space-group type: F-43m
* total magnetic moment: 0.00 μB per formula unit
* total energy: -4.094 eV/atom

a b c (Å): 5.7376 5.7376 5.7376
angles (deg): 60.00 60.00 60.00
Sites, in units of the cell vectors:
La (0.0000, 0.0000, 0.0000)
Al (0.3753, 0.3753, 0.3753)
Al (0.3753, 0.3753, 0.8740)
Al (0.3753, 0.8740, 0.3753)
Al (0.8740, 0.3753, 0.3753)
Pb (0.7500, 0.7500, 0.7500)



# 7
DFT (PBE-GGA) results for a relaxed structure of Cs3SmO3.

Summary:
* E above lowest polymorph: 14 meV/atom
* space-group type: C2/m
* formation energy from raw total energies: -179.08 kJ per mole of atoms
* total magnetic moment: 0.00 μB per formula unit
* total energy: -5.021 eV/atom

a b c (Å): 7.7059 7.7059 7.8258
angles (deg): 95.29 95.29 117.26
Sites, in units of the cell vectors:
Cs (0.2175, 0.7825, 0.0000)
Cs (0.2616, 0.7384, 0.5000)
Cs (0.3538, 0.3538, 0.1468)
Cs (0.6462, 0.6462, 0.8532)
Cs (0.7384, 0.2616, 0.5000)
Cs (0.7825, 0.2175, 0.0000)
Sm (0.1757, 0.1757, 0.6531)
Sm (0.8243, 0.8243, 0.3469)
O (0.1077, 0.1077, 0.3599)
O (0.1712, 0.4447, 0.7663)
O (0.4447, 0.1712, 0.7663)
O (0.5553, 0.8288, 0.2337)
O (0.8288, 0.5553, 0.2337)
O (0.8923, 0.8923, 0.6401)



# 8
DFT (PBE-GGA) results for a relaxed structure of Ba2CoTc2.

Summary:
* energy of formation from the pure elements: 0.788 eV per atom
* E above lowest polymorph: 0 meV/atom
* space-group type: I4/mmm
* total magnetic moment: 0.00 μB per formula unit
* total energy: -5.548 eV/atom

a b c (Å): 10.4617 10.4617 10.4617
angles (deg): 160.59 160.59 27.59
Sites, in units of the cell vectors:
Ba (0.0958, 0.0958, 0.0000)
Ba (0.9042, 0.9042, 0.0000)
Co (0.5000, 0.5000, 0.0000)
Tc (0.2500, 0.7500, 0.5000)
Tc (0.7500, 0.2500, 0.5000)



# 9
DFT (PBE-GGA) results for a relaxed structure of TaNiMoS2.

Summary:
* space-group type: P4/mmm
* formation energy from raw total energies: 84.55 kJ per mole of atoms
* total magnetic moment: 2.21 μB per formula unit
* total energy: -6.468 eV/atom

a b c (Å): 4.5443 4.5443 4.5048
angles (deg): 90.00 90.00 90.00
Sites, in units of the cell vectors:
Ta (0.0000, 0.0000, 0.0000)
Ni (0.5000, 0.5000, 0.0000)
Mo (0.5000, 0.5000, 0.5000)
S (0.0000, 0.5000, 0.5000)
S (0.5000, 0.0000, 0.5000)